{
  "formula": "SrSc2Hg",
  "functional": "PBE",
  "state": "optimized geometry",
  "lattice_angstrom": [[-1.922, 2.598, 5.577], [1.922, -2.598, 5.577], [1.922, 2.598, -5.577]],
  "species": ["Sr", "Sc", "Sc", "Hg"],
  "fractional_positions": [[0.000, 0.000, 0.000], [0.431, 0.431, 0.000], [0.716, 0.216, 0.500], [0.239, 0.739, 0.500]],
  "polymorph_energy_ev_per_atom": 0.141,
  "ef_mev_per_atom": 25,
  "sg": "Imm2"
}